SrY | GGA-PBE | relaxed

E_form: 259 meV per atom
total DFT energy (no corrections): -3.814 eV/atom
polymorph energy (0 for the lowest one): 0.30 eV/f.u.
SG: I4_1/amd
total magnetic moment: 0.486 μB/atom

a = 6.5965 Å, b = 6.5965 Å, c = 6.5965 Å
α = 130.27°, β = 130.27°, γ = 72.98°
Each line ends with the local moment (μB).
Fractional coordinates of all 4 atoms:
1 Sr 0.0000 0.0000 0.0000  0.06
2 Sr 0.2500 0.7500 0.5000  0.06
3 Y 0.5000 0.5000 0.0000  0.35
4 Y 0.7500 0.2500 0.5000  0.35